The following is a GGA-PBEsol calculation of a relaxed structure of LaAg4Hg, from Alexandria.

Calculated total energy = -20.710 eV/cell
Spin magnetization = 0.000 μB/cell
Space group = No. 216
Formation enthalpy at 0 K = -0.2586 eV per atom

Cell lengths 5.542, 5.542, 5.542 Å; angles 60.00, 60.00, 60.00 degrees
Positions (direct):
Ag 0.873 0.376 0.376
La 0.000 0.000 0.000
Ag 0.376 0.376 0.376
Ag 0.376 0.873 0.376
Ag 0.376 0.376 0.873
Hg 0.750 0.750 0.750

=====

The following is a GGA-PBEsol calculation of a relaxed structure of LiAg2Hg, from Alexandria.

Calculated total energy = -9.700 eV/cell
Spin magnetization = 0.000 μB/cell
Space group = No. 47
Formation enthalpy at 0 K = -0.1361 eV per atom

Cell lengths 2.933, 4.072, 5.763 Å; angles 90.00, 90.00, 90.00 degrees
Positions (direct):
Ag 0.000 0.000 0.261
Hg 0.500 0.500 0.000
Li 0.500 0.500 0.500
Ag 0.000 0.000 0.739

=====

The following is a GGA-PBEsol calculation of a relaxed structure of LiAg2Hg, from Alexandria.

Calculated total energy = -9.931 eV/cell
Spin magnetization = 0.000 μB/cell
Space group = No. 139
Formation enthalpy at 0 K = -0.1938 eV per atom

Cell lengths 4.063, 4.063, 5.014 Å; angles 113.90, 113.90, 90.00 degrees
Positions (direct):
Hg 0.500 0.500 0.000
Ag 0.750 0.250 0.500
Li 0.000 0.000 0.000
Ag 0.250 0.750 0.500

=====

The following is a GGA-PBEsol calculation of a relaxed structure of LiAg2Hg, from Alexandria.

Calculated total energy = -9.838 eV/cell
Spin magnetization = 0.000 μB/cell
Space group = No. 6
Formation enthalpy at 0 K = -0.1706 eV per atom

Cell lengths 2.977, 3.985, 5.778 Å; angles 90.00, 90.32, 90.00 degrees
Positions (direct):
Ag 0.501 0.500 0.237
Ag 0.999 0.000 0.998
Li 0.500 0.500 0.756
Hg 0.000 0.000 0.509

=====

no.,D(E_F) (states/eV per cell)
1,3.0
2,1.1
3,1.1
4,1.1